Record 1
# BeRhCl2

Crystalline BeRhCl2 at its relaxed geometry (PBE, the Alexandria database).

N(E_F)   2.1 states/eV/f.u.
Uncorrected formation energy   0.358 eV per atom
M_tot   0.000 μB/atom
Energy   -26.68 eV/cell
Energy above the most stable polymorph in this dataset   741.4 meV per atom

Lattice parameters (Å, degrees): 3.4040 3.4040 11.4265 90.00 90.00 90.00
Closest atoms and distances in Å follow each position.
Space group I-4m2 (No. 119)
Unique sites:
1 Be 0.0000 0.0000 0.0000 x2  4 Cl 2.41
2 Rh 0.0000 0.5000 0.2500 x2  4 Cl 2.41
3 Cl 0.0000 0.0000 0.5000 x2  4 Be 2.41
4 Cl 0.0000 0.5000 0.7500 x2  4 Rh 2.41

=====

Record 2
# CuWSe

Crystalline CuWSe at its relaxed geometry (PBE, the Alexandria database).

N(E_F)   1.4 states/eV/f.u.
Uncorrected formation energy   0.151 eV per atom
M_tot   0.000 μB/atom
Energy   -40.16 eV/cell
Energy above the most stable polymorph in this dataset   50.1 meV per atom

Lattice parameters (Å, degrees): 3.2294 6.4140 4.8029 90.00 90.00 90.00
Closest atoms and distances in Å follow each position.
Space group Pmn2_1 (No. 31)
Unique sites:
1 Cu 0.0000 0.1910 0.0000 x2  3 Se 2.50-2.69, 3 W 2.66-2.69
2 W 0.0000 0.4823 0.3950 x2  3 Se 2.56-2.64, 3 Cu 2.66-2.69
3 Se 0.0000 0.8039 0.0520 x2  3 Cu 2.50-2.69, 3 W 2.56-2.64

=====

Record 3
# Co2RhW

Crystalline Co2RhW at its relaxed geometry (PBE, the Alexandria database).

N(E_F)   4.8 states/eV/f.u.
M_tot   0.416 μB/atom
Formation energy from the elements   0.16 eV/f.u.
Energy   -34.35 eV/cell
Energy above the most stable polymorph in this dataset   116.5 meV per atom

Lattice parameters (Å, degrees): 2.6848 3.5930 5.3218 90.00 90.00 90.00
Closest atoms and distances in Å follow each position.
Space group Pmmm (No. 47)
Unique sites:
1 Co 0.0000 0.0000 0.2504 x2  4 W 2.61, 4 Rh 2.61, 4 Co 2.66-2.68
2 Rh 0.5000 0.5000 0.0000 x1  8 Co 2.61, 2 W 2.66, 2 Rh 2.68
3 W 0.5000 0.5000 0.5000 x1  8 Co 2.61, 2 Rh 2.66, 2 W 2.68

=====

Record 4
# K2NaNpI8

Crystalline K2NaNpI8 at its relaxed geometry (PBE, the Alexandria database).

N(E_F)   13.6 states/eV/f.u.
Uncorrected formation energy   -0.963 eV per atom
M_tot   0.161 μB/atom
Energy   -40.41 eV/cell

Lattice parameters (Å, degrees): 7.3957 8.0337 10.1177 89.20 89.92 86.53
Closest atoms and distances in Å follow each position.
Space group P-1 (No. 2)
Unique sites:
1 K 0.0181 0.4983 0.2364 x2  6 I 3.42-3.76
2 Na 0.5000 0.0000 0.0000 x1  2 I 3.01
3 Np 0.5000 0.0000 0.5000 x1  6 I 2.95-2.97
4 I 0.2589 0.8858 0.2916 x2  1 Np 2.95
5 I 0.2710 0.8661 0.7104 x2  1 Np 2.95
6 I 0.2854 0.3238 0.5094 x2  1 Np 2.97
7 I 0.2860 0.3308 0.9906 x2  1 Na 3.01

=====

Record 5
# ScCdRe2

Crystalline ScCdRe2 at its relaxed geometry (PBE, the Alexandria database).

N(E_F)   4.8 states/eV/f.u.
M_tot   0.000 μB/atom
Formation energy from the elements   1.81 eV/f.u.
Energy   -90.99 eV/cell

Lattice parameters (Å, degrees): 2.8676 2.8676 29.2379 90.00 90.00 120.00
Closest atoms and distances in Å follow each position.
Space group R-3m (No. 166, hexagonal axes)
Unique sites:
1 Sc 0.0000 0.0000 0.0000 x3  6 Sc 2.87, 6 Re 2.90
2 Cd 0.0000 0.0000 0.5000 x3  6 Cd 2.87, 6 Re 2.99
3 Re 0.0000 0.0000 0.2520 x6  6 Re 2.87, 3 Sc 2.90, 3 Cd 2.99

=====

Record 6
# AgPd2Au5

Crystalline AgPd2Au5 at its relaxed geometry (PBE, the Alexandria database).

N(E_F)   1.9 states/eV/f.u.
M_tot   0.000 μB/atom
Formation energy from the elements   -0.67 eV/f.u.
Energy   -60.59 eV/cell
Energy above the most stable polymorph in this dataset   0.0 meV per atom

Lattice parameters (Å, degrees): 5.7434 11.5576 4.1581 90.00 90.00 90.00
Closest atoms and distances in Å follow each position.
Space group Pbam (No. 55)
Unique sites:
1 Ag 0.0000 0.0000 0.0000 x2  8 Au 2.87-2.90, 4 Pd 2.92
2 Pd 0.2476 0.3744 0.5000 x4  10 Au 2.87-2.91, 2 Ag 2.92
3 Au 0.0000 0.5000 0.0000 x2  2 Ag 2.87, 6 Au 2.89-2.91, 4 Pd 2.91
4 Au 0.0015 0.7504 0.0000 x4  7 Au 2.87-2.92, 1 Ag 2.89, 4 Pd 2.91
5 Au 0.2477 0.1238 0.5000 x4  4 Pd 2.87-2.90, 2 Ag 2.90, 6 Au 2.91-2.92

=====

Record 7
# Mo2RuI

Crystalline Mo2RuI at its relaxed geometry (PBE, the Alexandria database).

N(E_F)   4.1 states/eV/f.u.
Uncorrected formation energy   1.274 eV per atom
M_tot   0.000 μB/atom
Energy   -109.57 eV/cell
Energy above the most stable polymorph in this dataset   434.7 meV per atom

Lattice parameters (Å, degrees): 5.8307 5.8307 11.7238 90.00 90.00 90.00
Closest atoms and distances in Å follow each position.
Space group I-42d (No. 122)
Unique sites:
1 Mo 0.2080 0.2500 0.1250 x8  2 Ru 2.40, 2 I 2.68
2 Ru 0.0000 0.0000 0.0000 x4  4 Mo 2.40
3 I 0.0000 0.0000 0.5000 x4  4 Mo 2.68

=====

Record 8
# LaBO2

Crystalline LaBO2 at its relaxed geometry (PBE, the Alexandria database).

N(E_F)   2.2 states/eV/f.u.
Uncorrected formation energy   -0.605 eV per atom
M_tot   0.000 μB/atom
Energy   -71.83 eV/cell

Lattice parameters (Å, degrees): 2.7933 2.7933 19.7176 90.00 90.00 120.00
Closest atoms and distances in Å follow each position.
Space group R-3m (No. 166, hexagonal axes)
Unique sites:
1 La 0.0000 0.0000 0.0000 x3  2 O 2.44
2 B 0.0000 0.0000 0.5000 x3  6 O 1.82
3 O 0.0000 0.0000 0.1236 x6  3 B 1.82

=====

Record 9
# HfAgPb2

Crystalline HfAgPb2 at its relaxed geometry (PBE, the Alexandria database).

N(E_F)   2.3 states/eV/f.u.
M_tot   0.000 μB/atom
Formation energy from the elements   0.91 eV/f.u.
Energy   -19.31 eV/cell
Energy above the most stable polymorph in this dataset   115.9 meV per atom

Lattice parameters (Å, degrees): 3.6056 3.6056 7.4043 90.00 90.00 90.00
Closest atoms and distances in Å follow each position.
Space group P4/mmm (No. 123)
Unique sites:
1 Hf 0.0000 0.0000 0.0000 x1  8 Pb 3.18
2 Ag 0.0000 0.0000 0.5000 x1  8 Pb 3.12
3 Pb 0.5000 0.5000 0.2567 x2  4 Ag 3.12, 4 Hf 3.18

=====

Record 10
# RbSn3N

Crystalline RbSn3N at its relaxed geometry (PBE, the Alexandria database).

N(E_F)   3.7 states/eV/f.u.
Uncorrected formation energy   0.544 eV per atom
M_tot   0.078 μB/atom
Energy   -18.58 eV/cell
Energy above the most stable polymorph in this dataset   0.0 meV per atom

Lattice parameters (Å, degrees): 5.1029 5.1029 5.1029 90.00 90.00 90.00
Closest atoms and distances in Å follow each position.
Space group Pm-3m (No. 221)
Unique sites:
1 Rb 0.0000 0.0000 0.0000 x1  12 Sn 3.61
2 Sn 0.0000 0.5000 0.5000 x3  2 N 2.55
3 N 0.5000 0.5000 0.5000 x1  6 Sn 2.55

=====

Record 11
# K4Te

Crystalline K4Te at its relaxed geometry (PBE, the Alexandria database).

N(E_F)   3.0 states/eV/f.u.
Uncorrected formation energy   -0.474 eV per atom
M_tot   0.024 μB/atom
Energy   -19.81 eV/cell
Energy above the most stable polymorph in this dataset   36.8 meV per atom

Lattice parameters (Å, degrees): 8.3033 8.3033 8.3033 90.00 90.00 90.00
Closest atoms and distances in Å follow each position.
Space group Im-3m (No. 229)
Unique sites:
1 K 0.2500 0.2500 0.2500 x8  2 Te 3.60
2 Te 0.0000 0.0000 0.0000 x2  8 K 3.60

=====

Record 12
# KBa2Zr

Crystalline KBa2Zr at its relaxed geometry (PBE, the Alexandria database).

N(E_F)   6.6 states/eV/f.u.
M_tot   0.540 μB/atom
Formation energy from the elements   2.85 eV/f.u.
Energy   -10.64 eV/cell
Energy above the most stable polymorph in this dataset   256.3 meV per atom

Lattice parameters (Å, degrees): 4.5199 4.5199 10.0240 90.00 90.00 90.00
Closest atoms and distances in Å follow each position.
Space group P4mm (No. 99)
Unique sites:
1 K 0.0000 0.0000 0.0000 x1  1 Ba 3.93, 4 Zr 4.11
2 Ba 0.0000 0.0000 0.3923 x1  4 Zr 3.47
3 Ba 0.5000 0.5000 0.6642 x1  1 Zr 4.07, 8 Ba 4.20-4.52
4 Zr 0.5000 0.5000 0.2578 x1  4 Ba 3.47

=====

Record 13
# MgHg3Te

Crystalline MgHg3Te at its relaxed geometry (PBE, the Alexandria database).

N(E_F)   5.0 states/eV/f.u.
Uncorrected formation energy   0.176 eV per atom
M_tot   0.000 μB/atom
Energy   -4.76 eV/cell
Energy above the most stable polymorph in this dataset   0.0 meV per atom

Lattice parameters (Å, degrees): 5.4042 5.4042 5.4042 90.00 90.00 90.00
Closest atoms and distances in Å follow each position.
Space group Pm-3m (No. 221)
Unique sites:
1 Mg 0.0000 0.0000 0.0000 x1  6 Hg 2.70
2 Hg 0.0000 0.0000 0.5000 x3  2 Mg 2.70
3 Te 0.5000 0.5000 0.5000 x1  12 Hg 3.82